# 1
# LaTcCl2

LaTcCl2 after structural relaxation (GGA-PBE, the Alexandria database).

relative energy among the computed polymorphs = 0.228 eV per atom
SG = Imm2 (44)
energy relative to the elements, uncorrected = -2.13 eV/f.u.

Cell lengths 7.544, 7.544, 7.544 Å; angles 154.17, 148.05, 41.53 degrees
Element x y z (fractional)
La: 0.000 0.000 0.000
Tc: 0.158 0.658 0.500
Cl: 0.399 0.399 0.000
Cl: 0.657 0.157 0.500

# 2
# VPPbCl2

VPPbCl2 after structural relaxation (GGA-PBE, the Alexandria database).

relative energy among the computed polymorphs = 0.873 eV per atom
SG = P4/mmm (123)
energy relative to the elements, uncorrected = 2.78 eV/f.u.

Cell lengths 5.449, 5.449, 5.454 Å; angles 90.00, 90.00, 90.00 degrees
Element x y z (fractional)
V: 0.000 0.000 0.000
P: 0.500 0.500 0.000
Pb: 0.500 0.500 0.500
Cl: 0.000 0.500 0.500
Cl: 0.500 0.000 0.500

# 3
# SrMg2NbS

SrMg2NbS after structural relaxation (GGA-PBE, the Alexandria database).

SG = P4/mmm (123)
energy relative to the elements, uncorrected = 0.12 eV/f.u.

Cell lengths 5.445, 5.445, 4.734 Å; angles 90.00, 90.00, 90.00 degrees
Element x y z (fractional)
Sr: 0.000 0.000 0.000
Mg: 0.000 0.500 0.500
Mg: 0.500 0.000 0.500
Nb: 0.500 0.500 0.500
S: 0.500 0.500 0.000

# 4
# NaLa2N

NaLa2N after structural relaxation (GGA-PBE, the Alexandria database).

SG = I-42d (122)
energy relative to the elements, uncorrected = -1.89 eV/f.u.

Cell lengths 7.105, 7.105, 7.105 Å; angles 117.02, 117.02, 95.25 degrees
Element x y z (fractional)
Na: 0.000 0.000 0.000
Na: 0.750 0.250 0.500
La: 0.261 0.625 0.136
La: 0.375 0.511 0.636
La: 0.489 0.125 0.864
La: 0.875 0.739 0.364
N: 0.250 0.750 0.500
N: 0.500 0.500 0.000

# 5
# ZnReP2C

ZnReP2C after structural relaxation (GGA-PBE, the Alexandria database).

VASP energy = -4.782 eV/atom
SG = P4/mmm (123)

Cell lengths 4.643, 4.643, 3.497 Å; angles 90.00, 90.00, 90.00 degrees
Element x y z (fractional)
Zn: 0.000 0.000 0.000
Re: 0.500 0.500 0.500
P: 0.000 0.500 0.000
P: 0.500 0.000 0.000
C: 0.000 0.000 0.500

# 6
# LiNdNi5

LiNdNi5 after structural relaxation (GGA-PBE, the Alexandria database).

VASP energy = -5.253 eV/atom
SG = Pnma (62)

Cell lengths 7.973, 4.901, 10.128 Å; angles 90.00, 90.00, 90.00 degrees
Element x y z (fractional)
Li: 0.136 0.250 0.146
Li: 0.364 0.750 0.646
Li: 0.636 0.250 0.354
Li: 0.864 0.750 0.854
Nd: 0.241 0.750 0.941
Nd: 0.259 0.250 0.441
Nd: 0.741 0.750 0.559
Nd: 0.759 0.250 0.059
Ni: 0.062 0.250 0.891
Ni: 0.071 0.501 0.685
Ni: 0.071 0.999 0.685
Ni: 0.095 0.750 0.482
Ni: 0.181 0.750 0.251
Ni: 0.319 0.250 0.751
Ni: 0.405 0.250 0.982
Ni: 0.429 0.001 0.185
Ni: 0.429 0.499 0.185
Ni: 0.438 0.750 0.391
Ni: 0.562 0.250 0.609
Ni: 0.571 0.501 0.815
Ni: 0.571 0.999 0.815
Ni: 0.595 0.750 0.018
Ni: 0.681 0.750 0.249
Ni: 0.819 0.250 0.749
Ni: 0.905 0.250 0.518
Ni: 0.929 0.001 0.315
Ni: 0.929 0.499 0.315
Ni: 0.938 0.750 0.109

Number 1: volume 98.8 Å³/f.u.. Number 2: volume 161.9 Å³/f.u.. Number 3: volume 140.3 Å³/f.u.. Number 4: volume 131.9 Å³/f.u.. Number 5: volume 75.4 Å³/f.u.. Number 6: volume 98.9 Å³/f.u..